Here is an optimized crystal structure of KNbCu from OQMD via LeMat-Bulk. Energies are from PBE.

Cell: 4.829 4.829 4.829 Å, 60.00 60.00 60.00°
Atoms (fractional coordinates):
K1 0.000 0.000 0.000
Nb1 0.500 0.500 0.500
Cu1 0.250 0.250 0.250

Output
- space-group type = F-43m (216)
- polymorph energy (0 for the lowest one) (meV per atom) = 0.0
- energy (eV/cell) = -10.10
- spin magnetization (μB per formula unit) = 3.0